VASP calculation (GGA-PBEsol) on a relaxed SrZrW2 crystal.

## Properties
Magnetization in μB/cell: 0.00
Density of states at the Fermi level in states/eV per cell: 4.690
ΔE_f in eV per atom: 0.53
Calculated total energy in eV/atom: -9.11

```
data_SrZrW2
_symmetry_space_group_name_H-M 'P 4 m m'
_symmetry_Int_Tables_number 99
_symmetry_space_group_name_Hall 'P 4 -2'
_cell_length_a 3.2379
_cell_length_b 3.2379
_cell_length_c 8.5753
_cell_angle_alpha 90.00
_cell_angle_beta 90.00
_cell_angle_gamma 90.00
loop_
_atom_site_label
_atom_site_fract_x
_atom_site_fract_y
_atom_site_fract_z
_atom_site_occupancy
Sr1 0.0000 0.0000 0.0000 1
Zr1 0.5000 0.5000 0.6359 1
W1 0.0000 0.0000 0.4359 1
W2 0.5000 0.5000 0.2812 1
```